The following is a SCAN calculation of TiCdMo2W at its PBEsol-relaxed geometry, from Alexandria.

Cell: 4.517 4.517 4.589 Å, 90.00 90.00 90.00°
Space group P4/mmm (No. 123)
Unique sites:
Ti 0.000 0.000 0.000
Cd 0.500 0.500 0.500
Mo 0.000 0.500 0.000
W 0.000 0.000 0.500

D(E_F) in states/eV/cell: 3.36
Crystal system: tetragonal
VASP energy in eV per atom: -35.578
Size of the total moment in μB per formula unit: 0.000

***

The following is a SCAN calculation of NdTe2 at its PBEsol-relaxed geometry, from Alexandria.

Cell: 4.444 4.444 9.004 Å, 90.00 90.00 90.00°
Space group P4/nmm (No. 129, origin choice 2)
Unique sites:
Nd 0.250 0.250 0.229
Te 0.250 0.250 0.869
Te 0.250 0.750 0.500

D(E_F) in states/eV/cell: 0.76
Crystal system: tetragonal
VASP energy in eV per atom: -40.779
Size of the total moment in μB per formula unit: 0.000

***

Repeat the first record exactly.
The following is a SCAN calculation of TiCdMo2W at its PBEsol-relaxed geometry, from Alexandria.

Cell: 4.517 4.517 4.589 Å, 90.00 90.00 90.00°
Space group P4/mmm (No. 123)
Unique sites:
Ti 0.000 0.000 0.000
Cd 0.500 0.500 0.500
Mo 0.000 0.500 0.000
W 0.000 0.000 0.500

D(E_F) in states/eV/cell: 3.36
Crystal system: tetragonal
VASP energy in eV per atom: -35.578
Size of the total moment in μB per formula unit: 0.000